1.
VASP calculation (GGA-PBE) on YBe2Pb after structural relaxation.

Summary:
formation energy from the elements = 0.37 eV/atom
total magnetization = 0.00 μB/f.u.

a = 4.112 Å, b = 4.112 Å, c = 9.285 Å
α = 90.00°, β = 90.00°, γ = 90.00°
Space group I-4m2 (No. 119)
Unique sites:
Y (0.000, 0.000, 0.000) x2
Be (0.000, 0.000, 0.500) x2
Be (0.000, 0.500, 0.750) x2
Pb (0.000, 0.500, 0.250) x2

2.
VASP calculation (GGA-PBE) on NaHo2S3 after structural relaxation.

Summary:
total magnetization = 0.00 μB/f.u.
uncorrected formation energy = -1877 meV per atom

a = 3.903 Å, b = 5.530 Å, c = 11.890 Å
α = 90.00°, β = 90.00°, γ = 90.00°
Space group Immm (No. 71)
Unique sites:
Na (0.000, 0.000, 0.000) x2
Ho (0.000, 0.000, 0.337) x4
S (0.000, 0.500, 0.000) x2
S (0.000, 0.500, 0.327) x4

3.
VASP calculation (GGA-PBE) on SrSnF2 after structural relaxation.

Summary:
total magnetization = 0.00 μB/f.u.
uncorrected formation energy = -1788 meV per atom

a = 6.861 Å, b = 6.861 Å, c = 6.861 Å
α = 90.00°, β = 90.00°, γ = 90.00°
Space group Fm-3m (No. 225)
Unique sites:
Sr (0.000, 0.000, 0.000) x4
Sn (0.000, 0.000, 0.500) x4
F (0.250, 0.250, 0.250) x8